Entry from OQMD via LeMat-Bulk: a relaxed BaCoCu2Se4 crystal (GGA-PBE).

Geometry as extended XYZ:
```
8
Lattice="-3.242 3.298 4.465 3.242 -3.298 4.465 3.242 3.298 -4.465" Properties=species:S:1:pos:R:3 pbc="T T T"
Ba 0.000 0.000 0.000
Co 0.000 0.000 4.465
Cu 0.000 3.298 2.250
Cu 3.242 0.000 2.214
Se -1.216 1.253 2.954
Se 1.216 1.253 5.976
Se 2.026 2.044 1.511
Se 4.458 2.044 -1.511
```

Values from the calculation:
Its symmetry is I222 (23). The calculation puts the total magnetic moment at 1.9 μB/f.u. As for the offset from the most stable computed form: 78.7 meV per atom.

=====

Entry from OQMD via LeMat-Bulk: a relaxed BaCoCuSe3 crystal (GGA-PBE).

Geometry as extended XYZ:
```
12
Lattice="1.962 -6.774 0.000 1.962 6.774 0.000 0.000 0.000 9.817" Properties=species:S:1:pos:R:3 pbc="T T T"
Ba 1.962 3.539 2.454
Ba 1.962 -3.539 7.363
Co 0.000 0.000 0.000
Co 0.000 0.000 4.909
Cu 1.962 -0.485 2.454
Cu 1.962 0.485 7.363
Se 1.962 -1.555 0.309
Se 1.962 -5.906 2.454
Se 1.962 -1.555 4.600
Se 1.962 1.555 5.218
Se 1.962 5.906 7.363
Se 1.962 1.555 9.508
```

Values from the calculation:
The calculation puts the final energy at -4.518 eV/atom. Its symmetry is Cmcm (63). The calculation puts the total magnetic moment at 0.0 μB/f.u.

=====

Entry from OQMD via LeMat-Bulk: a relaxed BaCoCu2Se4 crystal (GGA-PBE).

Geometry as extended XYZ:
```
16
Lattice="10.597 0.000 0.000 0.000 5.708 3.260 0.000 -5.708 3.260" Properties=species:S:1:pos:R:3 pbc="T T T"
Ba 0.000 0.000 4.161
Ba 5.299 0.000 4.161
Co 7.948 1.572 1.549
Co 2.649 -1.572 1.549
Cu 1.303 2.486 1.539
Cu 3.996 2.486 1.539
Cu 6.602 -2.486 1.539
Cu 9.295 -2.486 1.539
Se 2.649 4.287 2.520
Se 6.205 2.793 2.442
Se 9.692 2.793 2.442
Se 2.649 0.615 2.257
Se 7.948 -0.615 2.257
Se 0.906 -2.793 2.442
Se 4.393 -2.793 2.442
Se 7.948 -4.287 2.520
```

Values from the calculation:
Its symmetry is Ama2 (40). The calculation puts the total magnetic moment at 1.8 μB/f.u. As for the offset from the most stable computed form: 0.0 meV per atom.

=====

Entry from OQMD via LeMat-Bulk: a relaxed BaErCo crystal (GGA-PBE).

Geometry as extended XYZ:
```
3
Lattice="0.000 3.455 3.455 3.455 0.000 3.455 3.455 3.455 0.000" Properties=species:S:1:pos:R:3 pbc="T T T"
Ba 0.000 0.000 0.000
Co 1.728 1.728 1.728
Er 5.183 5.183 5.183
```

Values from the calculation:
Its symmetry is F-43m (216). The calculation puts the total magnetic moment at 0.2 μB/f.u. As for the offset from the most stable computed form: 864.7 meV per atom.